This record from Alexandria describes a relaxed structure of ZnHgGe2O6. The functional is GGA-PBE.

Computed properties:
symmetry = C2/c

Lattice parameters (Å, degrees): 7.4735 7.4735 5.6736 105.81 105.81 90.15
Closest atoms and distances in Å follow each position.
Sites, in units of the cell vectors:
Zn 0.2386 0.7614 0.7500  4 O 1.90-2.10
Zn 0.7614 0.2386 0.2500  4 O 1.90-2.10
Hg 0.1099 0.8901 0.2500  2 O 2.18
Hg 0.8901 0.1099 0.7500  2 O 2.18
Ge 0.2179 0.3833 0.2831  4 O 1.74-1.80
Ge 0.3833 0.2179 0.7831  4 O 1.74-1.80
Ge 0.6167 0.7821 0.2169  4 O 1.74-1.80
Ge 0.7821 0.6167 0.7169  4 O 1.74-1.80
O 0.0171 0.2170 0.1609  1 Ge 1.80
O 0.1596 0.6076 0.4077  1 Ge 1.74, 1 Zn 1.90
O 0.2170 0.0171 0.6609  1 Ge 1.80
O 0.3090 0.3848 0.0228  2 Ge 1.79
O 0.3848 0.3090 0.5228  2 Ge 1.79
O 0.3924 0.8404 0.0923  1 Ge 1.74, 1 Zn 1.90
O 0.6076 0.1596 0.9077  1 Ge 1.74, 1 Zn 1.90
O 0.6152 0.6910 0.4772  2 Ge 1.79
O 0.6910 0.6152 0.9772  2 Ge 1.79
O 0.7830 0.9829 0.3391  1 Ge 1.80
O 0.8404 0.3924 0.5923  1 Ge 1.74, 1 Zn 1.90
O 0.9829 0.7830 0.8391  1 Ge 1.80


This record from Alexandria describes a relaxed structure of ZnHgGeO2. The functional is GGA-PBE.

Computed properties:
symmetry = P4/mmm

Lattice parameters (Å, degrees): 4.1838 4.1838 5.2430 90.00 90.00 90.00
Closest atoms and distances in Å follow each position.
Sites, in units of the cell vectors:
Zn 0.0000 0.0000 0.0000  2 Hg 2.62
Hg 0.0000 0.0000 0.5000  4 O 2.09
Ge 0.5000 0.5000 0.0000  4 Zn 2.96
O 0.0000 0.5000 0.5000  2 Hg 2.09
O 0.5000 0.0000 0.5000  2 Hg 2.09


Computed formation energy without anion corrections (eV per atom) in order:
-1.303; 0.527
Computed final energy (eV per atom) in order:
-5.36; -2.69